No. 1
The following is a DFT calculation (GGA-PBE) of a relaxed structure of YAuN2. Values from VASP.

Geometry as Quantum ESPRESSO input:
```
&SYSTEM
  ibrav = 0, nat = 4, ntyp = 3
/
ATOMIC_SPECIES
N 14.01 N.upf
Au 196.97 Au.upf
Y 88.91 Y.upf
ATOMIC_POSITIONS crystal
N 0.882 0.882 0.882
N 0.118 0.118 0.118
Au 0.500 0.500 0.500
Y 0.000 0.000 0.000
CELL_PARAMETERS angstrom
-5.048 2.169 3.881
-3.330 -0.055 5.845
-2.202 3.165 5.512
```

Results
The uncorrected energy comes out at -5.70 eV per atom. The calculation puts the calculated volume at 16.359 Å³/atom. Its space group is R-3m (166).

---

No. 2
The following is a DFT calculation (GGA-PBE) of a relaxed structure of CaPaAgHg. Values from VASP.

Geometry as Quantum ESPRESSO input:
```
&SYSTEM
  ibrav = 0, nat = 4, ntyp = 4
/
ATOMIC_SPECIES
Pa 231.04 Pa.upf
Ca 40.08 Ca.upf
Ag 107.87 Ag.upf
Hg 200.59 Hg.upf
ATOMIC_POSITIONS crystal
Pa 0.250 0.250 0.250
Ca 0.750 0.750 0.750
Ag 0.500 0.500 0.500
Hg 0.000 0.000 0.000
CELL_PARAMETERS angstrom
-4.420 -0.343 -2.783
-3.298 -3.985 0.806
-4.620 0.852 2.310
```

Results
The calculation puts the calculated volume at 25.356 Å³/atom. Its space group is F-43m (216). The formation enthalpy at 0 K comes out at 0.05 eV per atom.

---

No. 3
The following is a DFT calculation (GGA-PBE) of a relaxed structure of Zr5Ga4. Values from VASP.

Geometry as Quantum ESPRESSO input:
```
&SYSTEM
  ibrav = 0, nat = 9, ntyp = 2
/
ATOMIC_SPECIES
Zr 91.22 Zr.upf
Ga 69.72 Ga.upf
ATOMIC_POSITIONS crystal
Zr 0.268 0.122 0.342
Zr 0.732 0.878 0.658
Zr 0.390 0.342 0.878
Zr 0.000 0.000 0.000
Zr 0.610 0.658 0.122
Ga 0.082 0.156 0.680
Ga 0.918 0.844 0.320
Ga 0.238 0.680 0.844
Ga 0.762 0.320 0.156
CELL_PARAMETERS angstrom
3.277 0.000 0.000
1.638 8.181 0.000
1.638 0.000 8.181
```

Results
The calculation puts the calculated volume at 24.366 Å³/atom. Its space group is I4/m (87). The formation enthalpy at 0 K comes out at -0.11 eV per atom.